# Be2BH, optimized geometry, DFT PBE
# - Space group: C2/m, No. 12
# - Total magnetic moment: 0.000 Bohr magnetons per cell
# - Energy above the most stable polymorph in this dataset: 17.3 meV/atom
# - Calculated total energy: -4.297 eV/atom
data_Be2BH
_cell_length_a 4.633
_cell_length_b 3.042
_cell_length_c 9.214
_cell_angle_alpha 90.00
_cell_angle_beta 110.10
_cell_angle_gamma 90.00
_space_group_name_H-M_alt 'P 1'
_space_group_IT_number 1
loop_
_space_group_symop_operation_xyz
'x,y,z'
loop_
_atom_site_label
_atom_site_fract_x
_atom_site_fract_y
_atom_site_fract_z
Be1 0.762 0.000 0.436
Be2 0.841 0.000 0.687
Be3 0.159 0.500 0.813
Be4 0.159 0.000 0.313
Be5 0.841 0.500 0.187
Be6 0.238 0.000 0.564
Be7 0.762 0.500 0.936
Be8 0.238 0.500 0.064
B1 0.041 0.000 0.921
B2 0.959 0.000 0.079
B3 0.959 0.500 0.579
B4 0.041 0.500 0.421
H1 0.471 0.000 0.321
H2 0.471 0.500 0.821
H3 0.529 0.000 0.679
H4 0.529 0.500 0.179